(1)
This record from Alexandria describes a relaxed LiGePb2O5 crystal. The functional is GGA-PBE.

## Properties
volume: 14.30 Å³/atom
magnetic moment: 0.3 μB/f.u.
mass density: 7.406 g cm⁻³
crystal system: orthorhombic
energy: -201.316 eV for the cell shown

a = 3.2227 Å, b = 15.4676 Å, c = 10.3269 Å
α = 90.00°, β = 90.00°, γ = 90.00°
Last column: nearest neighbours and their distance in Å.
Space group Cmc2_1 (No. 36)
Inequivalent atoms, fractional coordinates:
Li1 0.0000 0.2017 0.0000 (multiplicity 4)  3 O 1.98-2.06
Ge1 0.0000 0.4515 0.4360 (multiplicity 4)  4 O 1.75-1.87
Pb1 0.0000 0.1416 0.3138 (multiplicity 4)  6 O 2.34-2.51
Pb2 0.0000 0.1450 0.6619 (multiplicity 4)  3 O 2.33-2.39
O1 0.0000 0.0295 0.0229 (multiplicity 4)  2 Ge 1.87
O2 0.0000 0.2951 0.6800 (multiplicity 4)  3 Pb 2.33-2.34, 2 Li 2.46
O3 0.0000 0.3296 0.9953 (multiplicity 4)  1 Li 1.98
O4 0.0000 0.3419 0.3944 (multiplicity 4)  1 Ge 1.75
O5 0.0000 0.4780 0.8010 (multiplicity 4)  1 Ge 1.77

=====

(2)
This record from Alexandria describes a relaxed Pu2MnAs3 crystal. The functional is GGA-PBE.

## Properties
formation energy: -0.63 eV per atom
volume: 22.08 Å³/atom
magnetic moment: 6.8 μB/f.u.
mass density: 9.621 g cm⁻³
crystal system: orthorhombic
energy: -111.081 eV for the cell shown

a = 4.0043 Å, b = 5.8120 Å, c = 11.3869 Å
α = 90.00°, β = 90.00°, γ = 90.00°
Last column: nearest neighbours and their distance in Å.
Space group Immm (No. 71)
Inequivalent atoms, fractional coordinates:
Pu1 0.0000 0.0000 0.1758 (multiplicity 4)  6 As 2.83-2.93
Mn1 0.0000 0.0000 0.5000 (multiplicity 2)  4 As 2.57
As1 0.0000 0.5000 0.1414 (multiplicity 4)  2 Mn 2.57
As2 0.0000 0.5000 0.5000 (multiplicity 2)  4 Pu 2.83, 2 Mn 2.91

=====

(3)
This record from Alexandria describes a relaxed BaBCl crystal. The functional is GGA-PBE.

## Properties
volume: 28.44 Å³/atom
magnetic moment: 0.0 μB/f.u.
mass density: 3.573 g cm⁻³
crystal system: monoclinic
energy: -50.590 eV for the cell shown

a = 6.4580 Å, b = 4.6504 Å, c = 11.6003 Å
α = 90.00°, β = 101.55°, γ = 90.00°
Last column: nearest neighbours and their distance in Å.
Space group C2/m (No. 12)
Inequivalent atoms, fractional coordinates:
Ba1 0.0754 0.0000 0.1919 (multiplicity 4)  3 Cl 3.00-3.04, 6 B 3.23-3.30
B1 0.1256 0.5000 0.0003 (multiplicity 4)  1 B 1.62
Cl1 0.2453 0.5000 0.3460 (multiplicity 4)  3 Ba 3.00-3.04

=====

(4)
This record from Alexandria describes a relaxed SrCaI2O8 crystal. The functional is GGA-PBE.

## Properties
volume: 16.07 Å³/atom
magnetic moment: 2.0 μB/f.u.
mass density: 4.387 g cm⁻³
crystal system: trigonal
energy: -178.771 eV for the cell shown

a = 5.6640 Å, b = 5.6640 Å, c = 20.8261 Å
α = 90.00°, β = 90.00°, γ = 120.00°
Last column: nearest neighbours and their distance in Å.
Space group R-3 (No. 148, hexagonal axes)
Inequivalent atoms, fractional coordinates:
Sr1 0.0000 0.0000 0.0000 (multiplicity 3)  6 O 2.78
Ca1 0.0000 0.0000 0.5000 (multiplicity 3)  6 O 2.39
I1 0.0000 0.0000 0.2388 (multiplicity 6)  4 O 1.80-1.91
O1 0.0000 0.0000 0.3254 (multiplicity 6)  1 I 1.80
O2 0.0096 0.3197 0.8974 (multiplicity 18)  1 I 1.91

=====

(5)
This record from Alexandria describes a relaxed YErHg6 crystal. The functional is GGA-PBE.

## Properties
formation energy: -0.34 eV per atom
volume: 23.89 Å³/atom
magnetic moment: 0.0 μB/f.u.
mass density: 12.683 g cm⁻³
crystal system: orthorhombic
energy: -31.076 eV for the cell shown

a = 5.0053 Å, b = 6.7136 Å, c = 11.3746 Å
α = 90.00°, β = 90.00°, γ = 90.00°
Last column: nearest neighbours and their distance in Å.
Space group Amm2 (No. 38)
Inequivalent atoms, fractional coordinates:
Y1 0.0000 0.0000 0.0000 (multiplicity 2)  12 Hg 3.16-3.36
Er1 0.5000 0.0000 0.6825 (multiplicity 2)  12 Hg 3.15-3.36
Hg1 0.0000 0.0000 0.5127 (multiplicity 2)  8 Hg 3.14-3.36, 2 Er 3.16, 2 Y 3.36
Hg2 0.0000 0.2443 0.2552 (multiplicity 4)  8 Hg 3.14-3.43, 2 Er 3.15, 2 Y 3.27-3.33
Hg3 0.5000 0.0000 0.1714 (multiplicity 2)  8 Hg 3.14-3.32, 2 Y 3.17, 2 Er 3.36
Hg4 0.5000 0.2416 0.4261 (multiplicity 4)  8 Hg 3.14-3.47, 2 Y 3.16, 2 Er 3.27-3.34

=====

(6)
This record from Alexandria describes a relaxed Mg2InGaPb crystal. The functional is GGA-PBE.

## Properties
formation energy: 0.52 eV per atom
volume: 34.52 Å³/atom
magnetic moment: 0.0 μB/f.u.
mass density: 4.237 g cm⁻³
crystal system: tetragonal
energy: -10.047 eV for the cell shown

a = 5.4421 Å, b = 5.4421 Å, c = 5.8271 Å
α = 90.00°, β = 90.00°, γ = 90.00°
Last column: nearest neighbours and their distance in Å.
Space group P4/mmm (No. 123)
Inequivalent atoms, fractional coordinates:
Mg1 0.0000 0.5000 0.0000 (multiplicity 2)  2 Pb 2.72
In1 0.0000 0.0000 0.5000 (multiplicity 1)  2 Pb 2.91
Ga1 0.5000 0.5000 0.5000 (multiplicity 1)  4 In 3.85, 8 Mg 3.99
Pb1 0.0000 0.0000 0.0000 (multiplicity 1)  4 Mg 2.72, 2 In 2.91

=====

(7)
This record from Alexandria describes a relaxed TlHg7Pb3 crystal. The functional is GGA-PBE.

## Properties
formation energy: 0.04 eV per atom
volume: 28.70 Å³/atom
magnetic moment: 0.0 μB/f.u.
mass density: 11.730 g cm⁻³
crystal system: orthorhombic
energy: -60.783 eV for the cell shown

a = 3.3568 Å, b = 29.9254 Å, c = 12.5716 Å
α = 90.00°, β = 90.00°, γ = 90.00°
Last column: nearest neighbours and their distance in Å.
Space group Cmcm (No. 63)
Inequivalent atoms, fractional coordinates:
Tl1 0.0000 0.0922 0.2500 (multiplicity 4)  2 Tl 3.36, 8 Hg 3.45-3.46, 2 Pb 3.58
Hg1 0.0000 0.1927 0.6120 (multiplicity 8)  7 Hg 3.13-3.47, 3 Pb 3.28-3.43
Hg2 0.0000 0.3324 0.5896 (multiplicity 8)  4 Hg 3.13-3.36, 4 Pb 3.27-3.41, 2 Tl 3.46
Hg3 0.0000 0.3904 0.2500 (multiplicity 4)  4 Pb 3.29, 6 Hg 3.36-3.47
Hg4 0.0000 0.4944 0.6278 (multiplicity 8)  4 Hg 3.07-3.36, 2 Pb 3.35
Pb1 0.0000 0.0828 0.5337 (multiplicity 8)  9 Hg 3.29-3.50, 2 Pb 3.36, 1 Tl 3.58
Pb2 0.0000 0.2329 0.2500 (multiplicity 4)  8 Hg 3.27-3.28, 2 Pb 3.36

=====

(8)
This record from Alexandria describes a relaxed PuSb crystal. The functional is GGA-PBE.

## Properties
volume: 30.61 Å³/atom
magnetic moment: 5.0 μB/f.u.
mass density: 9.920 g cm⁻³
crystal system: cubic
energy: -78.505 eV for the cell shown

a = 6.2565 Å, b = 6.2565 Å, c = 6.2565 Å
α = 90.00°, β = 90.00°, γ = 90.00°
Last column: nearest neighbours and their distance in Å.
Space group Fm-3m (No. 225)
Inequivalent atoms, fractional coordinates:
Pu1 0.0000 0.0000 0.0000 (multiplicity 4)  6 Sb 3.13
Sb1 0.0000 0.0000 0.5000 (multiplicity 4)  6 Pu 3.13